Material: RbCrGePb2
Method: DFT, PBE-GGA
State: relaxed

abc: 6.088 6.088 5.402
angles: 90.00 90.00 90.00
Space group P4/mmm (No. 123)
Unique sites:
Rb  0.000  0.000  0.000 (multiplicity 1)
Cr  0.000  0.000  0.500 (multiplicity 1)
Ge  0.500  0.500  0.500 (multiplicity 1)
Pb  0.000  0.500  0.000 (multiplicity 2)

Values from the calculation:
The calculation puts the energy of formation at 1.687 eV/atom. For the raw total energy, the calculation gives -0.209 Ry/atom.